(1)
## YZrBr (PBE)

Data for an optimized crystal structure of YZrBr.

The value obtained for the formation energy from raw total energies is -0.662 eV per atom. As for the total energy: -6.22 eV per atom. As for the symmetry: P1 (1).

Structure (extended XYZ):
```
6
Lattice="3.558 0.000 0.000 1.779 3.083 0.000 1.461 -0.818 15.667" Properties=species:S:1:pos:R:3 pbc="T T T"
Y 0.000 0.000 0.000
Y 1.778 1.027 7.778
Zr 3.554 2.051 2.669
Zr 3.553 0.000 5.092
Br 3.558 0.000 9.806
Br 5.019 1.237 13.647
```

---

(2)
## Pr2Sm5Tl5 (PBE)

Data for an optimized crystal structure of Pr2Sm5Tl5.

As for the total energy: -3.98 eV per atom. As for the symmetry: C2/m (12). Its formation energy is -2.72 eV/f.u.

Structure (extended XYZ):
```
12
Lattice="6.060 -2.574 0.000 6.060 2.574 0.000 -4.097 0.000 12.104" Properties=species:S:1:pos:R:3 pbc="T T T"
Pr -0.351 0.000 3.206
Pr 8.374 0.000 8.898
Sm 3.328 0.000 2.503
Sm 2.203 0.000 5.906
Sm 6.060 0.000 0.000
Sm 5.821 0.000 6.197
Sm 4.695 0.000 9.600
Tl -2.048 0.000 6.052
Tl -2.075 0.000 11.729
Tl 0.292 0.000 8.633
Tl 7.731 0.000 3.471
Tl 10.098 0.000 0.375
```

---

(3)
## Dy8YTl6 (PBE)

Data for an optimized crystal structure of Dy8YTl6.

As for the total energy: -3.97 eV per atom. As for the symmetry: R-3 (148). Its formation energy is -2.08 eV/f.u.

Structure (extended XYZ):
```
15
Lattice="4.549 2.626 6.505 -4.549 2.626 6.505 0.000 -5.253 6.505" Properties=species:S:1:pos:R:3 pbc="T T T"
Dy -3.039 -0.004 7.625
Dy 0.000 0.000 3.248
Dy -1.516 -2.634 11.890
Dy 1.523 -2.629 7.625
Dy -1.523 2.630 11.890
Dy 1.516 2.634 7.625
Dy 0.000 0.000 16.267
Dy 3.039 0.004 11.890
Y 0.000 0.000 9.757
Tl -1.513 -2.625 8.509
Tl -3.030 -0.002 11.006
Tl -1.517 2.623 8.509
Tl 1.517 -2.623 11.006
Tl 3.030 0.002 8.509
Tl 1.513 2.625 11.006
```

---

(4)
## UHS4 (PBE)

Data for an optimized crystal structure of UHS4.

As for the total energy: -5.70 eV per atom. As for the symmetry: Cmcm (63).

Structure (extended XYZ):
```
12
Lattice="3.946 -3.406 0.000 3.946 3.406 0.000 0.000 0.000 10.114" Properties=species:S:1:pos:R:3 pbc="T T T"
U 3.946 2.686 7.586
U 3.946 -2.686 2.529
H 3.946 0.179 7.586
H 3.946 -0.179 2.529
S 3.946 2.380 0.103
S 3.946 2.380 4.954
S 2.343 0.563 7.586
S 2.343 -0.563 2.529
S 5.548 0.563 7.586
S 5.548 -0.563 2.529
S 3.946 -2.380 5.160
S 3.946 -2.380 10.011
```